Entry 1:
DFT (PBE) results for crystalline Rb5Na2Tl4 at its relaxed geometry.

**Volume**: 49.88 Å³/atom
**Crystal system**: monoclinic
**E_form**: 45 meV/atom
**Size of the total moment**: 0.000 μB/atom
**Electronic total energy**: -1.495 eV per atom

Cell and atoms, written as POSCAR:
```
Rb5Na2Tl4
1.0
7.850 -3.882 0.000
7.850 3.882 0.000
-6.344 0.000 9.004
Rb Na Tl
5 2 4
Direct
0.000 0.000 0.000
0.043 0.535 0.338
0.465 0.957 0.662
0.535 0.043 0.338
0.957 0.465 0.662
0.472 0.472 0.198
0.528 0.528 0.802
0.003 0.003 0.666
0.222 0.222 0.971
0.778 0.778 0.029
0.997 0.997 0.334
```

***

Entry 2:
DFT (PBE) results for crystalline CaReSb2 at its relaxed geometry.

**Volume**: 25.24 Å³/atom
**Crystal system**: trigonal
**Distance to the lowest polymorph of the same formula**: 24 meV per atom
**Energy relative to the elements, uncorrected**: -0.004 eV per atom
**Size of the total moment**: 0.000 μB/atom
**Electronic total energy**: -5.677 eV per atom

Cell and atoms, written as POSCAR:
```
CaReSb2
1.0
4.102 0.000 0.000
-2.051 3.553 0.000
0.000 0.000 20.785
Ca Re Sb
3 3 6
Direct
0.000 0.000 0.000
0.333 0.667 0.667
0.667 0.333 0.333
0.000 0.000 0.500
0.333 0.667 0.167
0.667 0.333 0.833
0.000 0.000 0.232
0.000 0.000 0.768
0.333 0.667 0.435
0.333 0.667 0.899
0.667 0.333 0.101
0.667 0.333 0.565
```

***

Entry 3:
DFT (PBE) results for crystalline LaNd3Sm2P6 at its relaxed geometry.

**Volume**: 25.57 Å³/atom
**Crystal system**: monoclinic
**E_form**: -1552 meV/atom
**Size of the total moment**: 0.000 μB/atom
**Electronic total energy**: -6.646 eV per atom

Cell and atoms, written as POSCAR:
```
LaNd3Sm2P6
1.0
3.608 -6.249 0.000
3.608 6.249 0.000
-2.403 0.000 6.804
La Nd Sm P
1 3 2 6
Direct
0.000 0.000 0.000
0.166 0.834 0.500
0.500 0.500 0.500
0.834 0.166 0.500
0.333 0.667 0.000
0.667 0.333 0.000
0.083 0.420 0.249
0.255 0.255 0.751
0.420 0.083 0.249
0.580 0.917 0.751
0.745 0.745 0.249
0.917 0.580 0.751
```

***

- Which of these has the lowest electronic total energy?
  LaNd3Sm2P6